Below is SbSe2Cl after structural relaxation, with properties calculated at the GGA-PBE level.

The calculation puts the total DFT energy (no corrections) at -12.60 eV for the cell shown. As for the total magnetization: 0.64 μB/cell. Its excess energy over the best structure of this formula in the dataset is 1.58 eV/f.u. The mass density is 4.7 Mg/m³.

abc: 9.4355 9.4355 9.4355
angles: 22.75 22.75 22.75
Closest atoms and distances in Å follow each position.
Fractional positions:
Sb: 0.0000 0.0000 0.0000  3 Se 2.80, 3 Cl 2.91
Se: 0.4724 0.4724 0.4724  3 Se 2.96
Se: 0.7317 0.7317 0.7317  3 Sb 2.80, 3 Se 2.96
Cl: 0.2624 0.2624 0.2624  3 Sb 2.91